No. 1
## Li2SbW (GGA-PBE)

Data for an optimized crystal structure of Li2SbW.

Cell and atoms, written as extended XYZ:
```
4
Lattice="3.455 0.000 0.000 0.000 3.455 0.000 0.000 0.000 5.907" Properties=species:S:1:pos:R:3 pbc="T T T"
Li 0.000 0.000 0.000
Li 1.727 1.727 1.382
Sb 0.000 0.000 3.093
W 1.727 1.727 4.371
```

Values from the calculation:
SG: P4mm (99)
Total magnetization in μB/f.u.: 0.0
Total energy in eV/atom: -4.953

=====

No. 2
## Co2RhSe6 (GGA-PBE)

Data for an optimized crystal structure of Co2RhSe6.

Cell and atoms, written as extended XYZ:
```
9
Lattice="3.084 1.781 5.002 -3.084 1.781 5.002 0.000 -3.562 5.002" Properties=species:S:1:pos:R:3 pbc="T T T"
Co 0.000 0.000 0.000
Co 0.000 0.000 2.645
Rh 0.000 0.000 10.095
Se -1.974 0.101 6.288
Se -1.128 -1.701 8.681
Se 0.900 -1.760 6.288
Se -0.909 1.827 8.681
Se 1.074 1.659 6.288
Se 2.037 -0.126 8.681
```

Values from the calculation:
SG: R3 (146)
Total magnetization in μB/f.u.: 0.0
Total energy in eV/atom: -4.968
Relative energy among the computed polymorphs in meV per atom: 0

=====

No. 3
## NaSn (GGA-PBE)

Data for an optimized crystal structure of NaSn.

Cell and atoms, written as extended XYZ:
```
4
Lattice="4.874 0.000 0.000 0.000 4.489 0.000 -2.360 0.000 5.719" Properties=species:S:1:pos:R:3 pbc="T T T"
Na 0.008 1.122 1.602
Na 2.506 3.367 4.117
Sn 0.057 1.122 4.827
Sn 2.456 3.367 0.892
```

Values from the calculation:
SG: P2_1/m (11)
Total magnetization in μB/f.u.: 0.0
Energy of formation from the pure elements in meV per atom: -159
Total energy in eV/atom: -2.820

=====

No. 4
## Sm3DyTm6Sc2 (GGA-PBE)

Data for an optimized crystal structure of Sm3DyTm6Sc2.

Cell and atoms, written as extended XYZ:
```
12
Lattice="3.028 -5.242 0.000 3.028 5.242 0.000 -2.016 0.000 11.358" Properties=species:S:1:pos:R:3 pbc="T T T"
Sm 0.000 0.000 0.000
Sm 3.028 1.750 0.000
Sm 3.028 -1.750 0.000
Dy 2.020 0.000 5.679
Tm 1.003 1.759 2.924
Tm -0.012 0.000 8.434
Tm 1.003 -1.759 2.924
Tm 3.038 1.759 8.434
Tm 4.052 0.000 2.924
Tm 3.038 -1.759 8.434
Sc 2.020 3.493 5.679
Sc 2.020 -3.493 5.679
```

Values from the calculation:
SG: C2/m (12)
Total magnetization in μB/f.u.: 0.0
Energy of formation from the pure elements in meV per atom: 40
Total energy in eV/atom: -4.814

=====

No. 5
## CeZrSe2O (GGA-PBE)

Data for an optimized crystal structure of CeZrSe2O.

Cell and atoms, written as extended XYZ:
```
10
Lattice="3.863 0.000 0.000 0.000 3.863 0.000 0.000 0.000 13.581" Properties=species:S:1:pos:R:3 pbc="T T T"
Ce 0.966 0.966 1.295
Ce 2.897 2.897 12.286
Zr 0.966 0.966 7.959
Zr 2.897 2.897 5.623
Se 0.966 0.966 5.184
Se 0.966 0.966 10.770
Se 2.897 2.897 2.811
Se 2.897 2.897 8.397
O 0.966 2.897 0.000
O 2.897 0.966 0.000
```

Values from the calculation:
SG: P4/nmm (129)
Total magnetization in μB/f.u.: 0.6
Total energy in eV/atom: -7.427

=====

No. 6
## B2S3 (GGA-PBE)

Data for an optimized crystal structure of B2S3.

Cell and atoms, written as extended XYZ:
```
10
Lattice="7.066 -1.496 0.000 7.066 1.496 0.000 -1.830 0.000 11.458" Properties=species:S:1:pos:R:3 pbc="T T T"
B 2.013 0.000 2.043
B 4.097 0.000 3.589
B 8.205 0.000 7.869
B 10.290 0.000 9.415
S 0.105 0.000 7.988
S 2.279 0.000 3.864
S 3.406 0.000 10.438
S 8.897 0.000 1.020
S 10.023 0.000 7.594
S 12.197 0.000 3.469
```

Values from the calculation:
SG: C2/m (12)
Total magnetization in μB/f.u.: 0.2
Total energy in eV/atom: -5.451
Relative energy among the computed polymorphs in meV per atom: 129

=====

No. 7
## LiCaTbIr (GGA-PBE)

Data for an optimized crystal structure of LiCaTbIr.

Cell and atoms, written as extended XYZ:
```
4
Lattice="0.000 3.501 3.501 3.501 0.000 3.501 3.501 3.501 0.000" Properties=species:S:1:pos:R:3 pbc="T T T"
Li 0.000 0.000 0.000
Ca 1.750 1.750 1.750
Tb 5.251 5.251 5.251
Ir 3.501 3.501 3.501
```

Values from the calculation:
SG: F-43m (216)
Total magnetization in μB/f.u.: 0.0
Energy of formation from the pure elements in meV per atom: -381
Total energy in eV/atom: -4.732

=====

No. 8
## MnBe4C (GGA-PBE)

Data for an optimized crystal structure of MnBe4C.

Cell and atoms, written as extended XYZ:
```
6
Lattice="0.000 2.874 2.874 2.874 0.000 2.874 2.874 2.874 0.000" Properties=species:S:1:pos:R:3 pbc="T T T"
Mn 0.000 0.000 0.000
Be 3.599 2.149 2.149
Be 2.149 3.599 2.149
Be 2.149 2.149 3.599
Be 3.599 3.599 3.599
C 1.437 1.437 1.437
```

Values from the calculation:
SG: F-43m (216)
Total magnetization in μB/f.u.: 0.0
Energy of formation from the pure elements in meV per atom: 707
Total energy in eV/atom: -4.843

=====

No. 9
## Be2IrRh (GGA-PBE)

Data for an optimized crystal structure of Be2IrRh.

Cell and atoms, written as extended XYZ:
```
4
Lattice="2.678 0.000 0.000 0.000 3.511 0.000 -0.013 0.000 4.937" Properties=species:S:1:pos:R:3 pbc="T T T"
Be 0.013 0.000 1.072
Be 2.652 0.000 3.865
Ir 1.339 1.755 0.000
Rh -0.007 1.755 2.469
```

Values from the calculation:
SG: P2/m (10)
Total magnetization in μB/f.u.: 0.0
Energy of formation from the pure elements in meV per atom: -340
Total energy in eV/atom: -6.256

=====

No. 10
## NaAcMgSb (GGA-PBE)

Data for an optimized crystal structure of NaAcMgSb.

Cell and atoms, written as extended XYZ:
```
4
Lattice="0.000 3.978 3.978 3.978 0.000 3.978 3.978 3.978 0.000" Properties=species:S:1:pos:R:3 pbc="T T T"
Na 0.000 0.000 0.000
Ac 3.978 3.978 3.978
Mg 5.967 5.967 5.967
Sb 1.989 1.989 1.989
```

Values from the calculation:
SG: F-43m (216)
Total magnetization in μB/f.u.: 0.0
Total energy in eV/atom: -3.076

=====

No. 11
## Ba2HgPd (GGA-PBE)

Data for an optimized crystal structure of Ba2HgPd.

Cell and atoms, written as extended XYZ:
```
4
Lattice="2.327 1.344 8.326 -2.327 1.344 8.326 0.000 -2.687 8.326" Properties=species:S:1:pos:R:3 pbc="T T T"
Ba 0.000 0.000 0.000
Ba 0.000 0.000 4.800
Hg 0.000 0.000 19.015
Pd 0.000 0.000 14.923
```

Values from the calculation:
SG: R3m (160)
Total magnetization in μB/f.u.: 0.0
Energy of formation from the pure elements in meV per atom: -459
Total energy in eV/atom: -2.794

=====

No. 12
## Li9Zn2Hg3 (GGA-PBE)

Data for an optimized crystal structure of Li9Zn2Hg3.

Cell and atoms, written as extended XYZ:
```
14
Lattice="5.714 -5.068 0.000 5.714 5.068 0.000 -1.777 0.000 4.158" Properties=species:S:1:pos:R:3 pbc="T T T"
Li 0.000 0.000 0.000
Li 2.613 2.639 3.595
Li 3.555 1.222 1.538
Li 7.038 2.639 0.563
Li 3.555 -1.222 1.538
Li 6.095 1.222 2.620
Li 2.613 -2.639 3.595
Li 6.095 -1.222 2.620
Li 7.038 -2.639 0.563
Zn 4.825 3.476 2.079
Zn 4.825 -3.476 2.079
Hg 1.143 0.000 3.004
Hg 5.714 0.000 0.000
Hg 8.508 0.000 1.154
```

Values from the calculation:
SG: C2/m (12)
Total magnetization in μB/f.u.: 0.0
Energy of formation from the pure elements in meV per atom: -175
Total energy in eV/atom: -1.652

=====

No. 13
## YVSbI2 (GGA-PBE)

Data for an optimized crystal structure of YVSbI2.

Cell and atoms, written as extended XYZ:
```
5
Lattice="5.056 0.000 0.000 0.000 5.056 0.000 0.000 0.000 6.135" Properties=species:S:1:pos:R:3 pbc="T T T"
Y 0.000 0.000 0.000
V 0.000 0.000 3.068
Sb 2.528 2.528 0.000
I 0.000 2.528 3.068
I 2.528 0.000 3.068
```

Values from the calculation:
SG: P4/mmm (123)
Total magnetization in μB/f.u.: 0.4
Total energy in eV/atom: -4.262
Relative energy among the computed polymorphs in meV per atom: 260

=====

No. 14
## Cu2TeHRh (GGA-PBE)

Data for an optimized crystal structure of Cu2TeHRh.

Cell and atoms, written as extended XYZ:
```
5
Lattice="4.083 0.000 0.000 0.000 4.083 0.000 0.000 0.000 3.890" Properties=species:S:1:pos:R:3 pbc="T T T"
Cu 0.000 2.042 0.000
Cu 2.042 0.000 0.000
Te 0.000 0.000 1.945
H 2.042 2.042 0.000
Rh 2.042 2.042 1.945
```

Values from the calculation:
SG: P4/mmm (123)
Total magnetization in μB/f.u.: 0.0
Total energy in eV/atom: -4.318

=====

No. 15
## Cs2CrSbSe4 (GGA-PBE)

Data for an optimized crystal structure of Cs2CrSbSe4.

Cell and atoms, written as extended XYZ:
```
16
Lattice="0.000 6.858 12.961 3.537 0.000 12.961 3.537 6.858 0.000" Properties=species:S:1:pos:R:3 pbc="T T T"
Cs 2.652 5.143 1.444
Cs 4.421 8.572 7.924
Cs 2.652 5.143 17.998
Cs 4.421 8.572 24.478
Cr 0.884 1.714 3.240
Cr 6.189 12.001 22.681
Sb 2.652 5.143 9.721
Sb 4.421 8.572 16.201
Se 2.433 2.874 4.701
Se 4.641 6.303 11.181
Se 2.872 7.412 4.701
Se 2.872 2.874 14.740
Se 4.201 10.841 11.181
Se 4.201 6.303 21.221
Se 2.433 7.412 14.740
Se 4.641 10.841 21.221
```

Values from the calculation:
SG: Fddd (70)
Total magnetization in μB/f.u.: 3.0
Total energy in eV/atom: -4.309

=====

No. 16
## Pa2GaGe2 (GGA-PBE)

Data for an optimized crystal structure of Pa2GaGe2.

Cell and atoms, written as extended XYZ:
```
10
Lattice="4.210 0.000 0.000 -2.105 3.646 0.000 0.000 0.000 14.547" Properties=species:S:1:pos:R:3 pbc="T T T"
Pa 0.000 2.431 1.632
Pa 0.000 2.431 5.642
Pa 2.105 1.215 8.905
Pa 2.105 1.215 12.915
Ga 0.000 0.000 3.637
Ga 0.000 0.000 10.910
Ge 0.000 0.000 0.000
Ge 0.000 0.000 7.274
Ge 0.000 2.431 10.910
Ge 2.105 1.215 3.637
```

Values from the calculation:
SG: P6_3/mmc (194)
Total magnetization in μB/f.u.: 0.0
Energy of formation from the pure elements in meV per atom: -375
Total energy in eV/atom: -6.626
Relative energy among the computed polymorphs in meV per atom: 0

=====

No. 17
## Ho8GeTe3P3 (GGA-PBE)

Data for an optimized crystal structure of Ho8GeTe3P3.

Cell and atoms, written as extended XYZ:
```
15
Lattice="4.090 2.361 6.946 -4.090 2.361 6.946 0.000 -4.722 6.946" Properties=species:S:1:pos:R:3 pbc="T T T"
Ho -2.092 -1.208 11.936
Ho 0.000 0.000 4.924
Ho 0.000 -2.416 8.901
Ho -2.092 1.208 8.901
Ho 2.092 -1.208 11.936
Ho 0.000 2.416 11.936
Ho 0.000 0.000 15.912
Ho 2.092 1.208 8.901
Ge 0.000 0.000 10.418
Te -2.045 -1.181 6.946
Te -2.045 1.181 13.891
Te 0.000 2.361 6.946
P -4.090 0.000 10.418
P -2.045 1.181 3.473
P 2.045 1.181 3.473
```

Values from the calculation:
SG: R-3m (166)
Total magnetization in μB/f.u.: 0.0
Total energy in eV/atom: -5.771

=====

No. 18
## KPbF2 (GGA-PBE)

Data for an optimized crystal structure of KPbF2.

Cell and atoms, written as extended XYZ:
```
4
Lattice="0.000 3.401 3.401 3.401 0.000 3.401 3.401 3.401 0.000" Properties=species:S:1:pos:R:3 pbc="T T T"
K 0.000 0.000 0.000
Pb 3.401 3.401 3.401
F 1.701 1.701 1.701
F 5.102 5.102 5.102
```

Values from the calculation:
SG: Fm-3m (225)
Total magnetization in μB/f.u.: 0.8
Total energy in eV/atom: -3.790
Relative energy among the computed polymorphs in meV per atom: 484

=====

No. 19
## Ce2PuRh2 (GGA-PBE)

Data for an optimized crystal structure of Ce2PuRh2.

Cell and atoms, written as extended XYZ:
```
10
Lattice="4.717 -4.929 0.000 4.717 4.929 0.000 0.000 0.000 5.158" Properties=species:S:1:pos:R:3 pbc="T T T"
Ce 1.799 1.327 1.290
Ce 1.799 -1.327 3.869
Ce 7.635 1.327 1.290
Ce 7.635 -1.327 3.869
Pu 4.717 1.577 1.290
Pu 4.717 -1.577 3.869
Rh 4.717 4.269 1.290
Rh 4.717 1.209 3.869
Rh 4.717 -1.209 1.290
Rh 4.717 -4.269 3.869
```

Values from the calculation:
SG: Cmcm (63)
Total magnetization in μB/f.u.: 6.9
Energy of formation from the pure elements in meV per atom: -289
Total energy in eV/atom: -8.469
Relative energy among the computed polymorphs in meV per atom: 232

=====

No. 20
## Sc2BeRhF (GGA-PBE)

Data for an optimized crystal structure of Sc2BeRhF.

Cell and atoms, written as extended XYZ:
```
5
Lattice="4.878 0.000 0.000 0.000 4.878 0.000 0.000 0.000 3.884" Properties=species:S:1:pos:R:3 pbc="T T T"
Sc 0.000 2.439 0.000
Sc 2.439 0.000 0.000
Be 0.000 0.000 0.000
Rh 0.000 0.000 1.942
F 2.439 2.439 1.942
```

Values from the calculation:
SG: P4/mmm (123)
Total magnetization in μB/f.u.: 0.0
Total energy in eV/atom: -5.538

=====

No. 21
## ZrAlCu (GGA-PBE)

Data for an optimized crystal structure of ZrAlCu.

Cell and atoms, written as extended XYZ:
```
9
Lattice="4.129 0.000 0.000 0.000 7.228 2.764 0.000 -7.228 2.764" Properties=species:S:1:pos:R:3 pbc="T T T"
Zr 0.000 0.000 0.000
Zr 2.065 -2.726 4.400
Zr 2.065 2.726 4.400
Al 2.065 -1.468 1.569
Al 2.065 1.468 1.569
Al 2.065 0.000 3.776
Cu 0.000 -4.459 3.704
Cu 0.000 0.000 2.642
Cu 0.000 4.459 3.704
```

Values from the calculation:
SG: Amm2 (38)
Total magnetization in μB/f.u.: 0.0
Energy of formation from the pure elements in meV per atom: -56
Total energy in eV/atom: -5.518

=====

No. 22
## LiSmYSe3 (GGA-PBE)

Data for an optimized crystal structure of LiSmYSe3.

Cell and atoms, written as extended XYZ:
```
12
Lattice="8.427 0.000 0.000 0.000 3.998 0.000 -1.955 0.000 8.593" Properties=species:S:1:pos:R:3 pbc="T T T"
Li 0.562 0.999 0.725
Li 5.909 2.998 7.868
Sm 0.163 0.999 6.227
Sm 6.309 2.998 2.366
Y 2.168 2.998 2.890
Y 4.304 0.999 5.702
Se 0.062 0.999 3.186
Se -0.078 2.998 8.564
Se 2.283 2.998 5.792
Se 4.189 0.999 2.801
Se 6.549 0.999 0.029
Se 6.410 2.998 5.407
```

Values from the calculation:
SG: P2_1/m (11)
Total magnetization in μB/f.u.: 0.0
Total energy in eV/atom: -5.590

=====

No. 23
## NdCoNi (GGA-PBE)

Data for an optimized crystal structure of NdCoNi.

Cell and atoms, written as extended XYZ:
```
6
Lattice="-2.235 4.244 2.939 2.235 -4.244 2.939 2.235 4.244 -2.939" Properties=species:S:1:pos:R:3 pbc="T T T"
Nd 0.000 0.000 0.000
Nd 0.000 4.244 0.000
Co -1.118 2.122 1.470
Co 1.118 2.122 1.470
Ni 2.235 2.122 -0.732
Ni 0.000 2.122 3.671
```

Values from the calculation:
SG: Imma (74)
Total magnetization in μB/f.u.: 0.8
Energy of formation from the pure elements in meV per atom: -30
Total energy in eV/atom: -5.915

=====

No. 24
## Th4CoSi3 (GGA-PBE)

Data for an optimized crystal structure of Th4CoSi3.

Cell and atoms, written as extended XYZ:
```
8
Lattice="4.043 0.000 0.000 0.000 4.246 0.000 0.000 0.000 10.877" Properties=species:S:1:pos:R:3 pbc="T T T"
Th 0.000 0.000 0.000
Th 0.000 2.123 5.285
Th 2.021 0.000 7.679
Th 2.021 2.123 2.256
Co 0.000 0.000 3.124
Si 0.000 2.123 8.436
Si 2.021 0.000 4.465
Si 2.021 2.123 10.026
```

Values from the calculation:
SG: Pmm2 (25)
Total magnetization in μB/f.u.: 0.0
Total energy in eV/atom: -7.212